# CaDy2Cd4

A relaxed CaDy2Cd4 crystal (GGA-PBE, the Alexandria database).

**Calculated density**: 6.661 Mg/m³
**Symmetry**: I4/mmm, No. 139
**Energy of formation from the pure elements**: -135 meV/atom

Cell: 5.1114 5.1114 8.5732 Å, 107.34 107.34 90.00°
Last column: magnetic moment on the atom in μB.
Atoms (fractional coordinates):
Dy (0.2514, 0.2514, 0.5027)  0.18
Ca (0.0000, 0.0000, 0.0000)  0.00
Cd (0.8762, 0.3762, 0.7523)  0.01
Cd (0.3762, 0.8762, 0.7523)  0.01
Dy (0.7486, 0.7486, 0.4973)  0.18
Cd (0.1238, 0.6238, 0.2477)  0.01
Cd (0.6238, 0.1238, 0.2477)  0.01